# Cs2BiWF6 PBE+U relaxed
# magnetic moment	0.5000	μB/atom
# V	237	Å³ per cell
# DOS(E_F)	0.00	states/eV per cell
# crystal system	tetragonal
# space group	I4/mmm, No. 139
# E_tot	-0.3446	Ry per atom
data_Cs2BiWF6
_cell_length_a 7.276
_cell_length_b 7.276
_cell_length_c 6.820
_cell_angle_alpha 57.76
_cell_angle_beta 57.76
_cell_angle_gamma 90.00
_space_group_name_H-M_alt 'P 1'
_space_group_IT_number 1
_space_group_name_Hall 'P 1'
loop_
_atom_site_label
_atom_site_fract_x
_atom_site_fract_y
_atom_site_fract_z
_atom_site_occupancy
F1 0.739 0.739 0.521 1
W1 0.500 0.500 0.000 1
F2 0.295 0.705 0.000 1
F3 0.705 0.295 0.000 1
F4 0.295 0.295 0.000 1
Bi1 0.000 0.000 0.000 1
F5 0.705 0.705 0.000 1
F6 0.261 0.261 0.479 1
Cs1 0.750 0.250 0.500 1
Cs2 0.250 0.750 0.500 1